Record 1
The following is a DFT calculation (PBE-GGA) of a relaxed structure of SrMo2Au.

Properties
* E_form: 696 meV/atom
* final energy: -5.96 eV per atom
* D(E_F): 1.1040 states/eV per atom
* space-group type: P2/m (10)

The structure in POSCAR format:
```
SrMo2Au
1.0
3.0947 0.0000 0.0000
0.0000 5.4279 0.0000
-0.2726 0.0000 4.9651
Sr Mo Au
1 2 1
direct
0.0000 0.0000 0.0000
0.3840 0.5000 0.7576
0.6160 0.5000 0.2424
0.5000 0.0000 0.5000
```

***

Record 2
The following is a DFT calculation (PBE-GGA) of a relaxed structure of Pm3Zn7Hg2.

Properties
* E_form: -241 meV/atom
* final energy: -2.22 eV per atom
* D(E_F): 0.7503 states/eV per atom
* space-group type: P2/m (10)

The structure in POSCAR format:
```
Pm3Zn7Hg2
1.0
4.4690 0.0000 0.0000
0.0000 4.1860 0.0000
-2.1960 0.0000 13.9140
Pm Zn Hg
3 7 2
direct
0.0000 0.0000 0.0000
0.3182 0.5000 0.6390
0.6818 0.5000 0.3610
0.0814 0.5000 0.1506
0.2304 0.0000 0.4606
0.4235 0.0000 0.8489
0.5000 0.5000 0.0000
0.5765 0.0000 0.1511
0.7696 0.0000 0.5394
0.9186 0.5000 0.8494
0.1360 0.0000 0.2709
0.8640 0.0000 0.7291
```

***

Record 3
The following is a DFT calculation (PBE-GGA) of a relaxed structure of Tb2UN4.

Properties
* final energy: -9.29 eV per atom
* space-group type: Pbam (55)

The structure in POSCAR format:
```
Tb2UN4
1.0
5.8375 0.0000 0.0000
0.0000 9.7958 0.0000
0.0000 0.0000 3.5425
Tb U N
4 2 8
direct
0.0635 0.1773 0.0000
0.4365 0.6773 0.0000
0.5635 0.3227 0.0000
0.9365 0.8227 0.0000
0.0000 0.5000 0.5000
0.5000 0.0000 0.5000
0.1452 0.6941 0.5000
0.2303 0.4569 0.0000
0.2697 0.9569 0.0000
0.3548 0.1941 0.5000
0.6452 0.8059 0.5000
0.7303 0.0431 0.0000
0.7697 0.5431 0.0000
0.8548 0.3059 0.5000
```

***

Record 4
The following is a DFT calculation (PBE-GGA) of a relaxed structure of SiRh5.

Properties
* final energy: -7.26 eV per atom
* D(E_F): 1.0213 states/eV per atom
* space-group type: Cmmm (65)

The structure in POSCAR format:
```
SiRh5
1.0
1.9176 -5.6302 0.0000
1.9176 5.6302 0.0000
0.0000 0.0000 3.8468
Si Rh
1 5
direct
0.0000 0.0000 0.0000
0.1623 0.8377 0.5000
0.3374 0.6626 0.0000
0.5000 0.5000 0.5000
0.6626 0.3374 0.0000
0.8377 0.1623 0.5000
```

***

Record 5
The following is a DFT calculation (PBE-GGA) of a relaxed structure of CrSn4Au.

Properties
* E_form: -8 meV/atom
* final energy: -4.83 eV per atom
* D(E_F): 0.3754 states/eV per atom
* space-group type: P4/mcc (124)

The structure in POSCAR format:
```
CrSn4Au
1.0
6.8612 0.0000 0.0000
0.0000 6.8612 0.0000
0.0000 0.0000 5.6045
Cr Sn Au
2 8 2
direct
0.0000 0.0000 0.2500
0.0000 0.0000 0.7500
0.1314 0.3212 0.0000
0.1314 0.6788 0.5000
0.3212 0.1314 0.5000
0.3212 0.8686 0.0000
0.6788 0.1314 0.0000
0.6788 0.8686 0.5000
0.8686 0.3212 0.5000
0.8686 0.6788 0.0000
0.5000 0.5000 0.0000
0.5000 0.5000 0.5000
```

***

Record 6
The following is a DFT calculation (PBE-GGA) of a relaxed structure of Nb2ZnGe2.

Properties
* E_form: -158 meV/atom
* final energy: -6.29 eV per atom
* D(E_F): 0.5709 states/eV per atom
* space-group type: P4/mbm (127)

The structure in POSCAR format:
```
Nb2ZnGe2
1.0
6.8234 0.0000 0.0000
0.0000 6.8234 0.0000
0.0000 0.0000 3.5969
Nb Zn Ge
4 2 4
direct
0.1592 0.3408 0.0000
0.3408 0.8408 0.0000
0.6592 0.1592 0.0000
0.8408 0.6592 0.0000
0.0000 0.0000 0.5000
0.5000 0.5000 0.5000
0.1388 0.6388 0.5000
0.3612 0.1388 0.5000
0.6388 0.8612 0.5000
0.8612 0.3612 0.5000
```

***

Record 7
The following is a DFT calculation (PBE-GGA) of a relaxed structure of Na3As5S12.

Properties
* final energy: -4.06 eV per atom
* D(E_F): 0.0182 states/eV per atom
* space-group type: Ia-3d (230)

The structure in POSCAR format:
```
Na3As5S12
1.0
-7.7095 7.7095 7.7095
7.7095 -7.7095 7.7095
7.7095 7.7095 -7.7095
Na As S
12 20 48
direct
0.1250 0.2500 0.3750
0.1250 0.3750 0.7500
0.2500 0.3750 0.1250
0.2500 0.8750 0.6250
0.3750 0.1250 0.2500
0.3750 0.7500 0.1250
0.6250 0.2500 0.8750
0.6250 0.8750 0.7500
0.7500 0.1250 0.3750
0.7500 0.6250 0.8750
0.8750 0.6250 0.2500
0.8750 0.7500 0.6250
0.0000 0.0000 0.0000
0.0000 0.0000 0.5000
0.0000 0.5000 0.0000
0.0000 0.5000 0.5000
0.1250 0.7500 0.8750
0.1250 0.8750 0.2500
0.2500 0.1250 0.8750
0.2500 0.6250 0.3750
0.3750 0.2500 0.6250
0.3750 0.6250 0.7500
0.5000 0.0000 0.0000
0.5000 0.0000 0.5000
0.5000 0.5000 0.0000
0.5000 0.5000 0.5000
0.6250 0.3750 0.2500
0.6250 0.7500 0.3750
0.7500 0.3750 0.6250
0.7500 0.8750 0.1250
0.8750 0.1250 0.7500
0.8750 0.2500 0.1250
0.0230 0.2089 0.1198
0.0230 0.3140 0.9032
0.0892 0.7089 0.6860
0.0892 0.8802 0.4032
0.0968 0.6198 0.4108
0.0968 0.9770 0.6860
0.1198 0.0230 0.2089
0.1198 0.5968 0.9108
0.1860 0.2089 0.5892
0.1860 0.4770 0.5968
0.2089 0.1198 0.0230
0.2089 0.5892 0.1860
0.2911 0.3140 0.9108
0.2911 0.4770 0.3802
0.3140 0.9032 0.0230
0.3140 0.9108 0.2911
0.3802 0.2911 0.4770
0.3802 0.5892 0.9032
0.4032 0.0892 0.8802
0.4032 0.8140 0.5230
0.4108 0.0968 0.6198
0.4108 0.8140 0.7911
0.4770 0.3802 0.2911
0.4770 0.5968 0.1860
0.5230 0.4032 0.8140
0.5230 0.6198 0.7089
0.5892 0.1860 0.2089
0.5892 0.9032 0.3802
0.5968 0.1860 0.4770
0.5968 0.9108 0.1198
0.6198 0.4108 0.0968
0.6198 0.7089 0.5230
0.6860 0.0892 0.7089
0.6860 0.0968 0.9770
0.7089 0.5230 0.6198
0.7089 0.6860 0.0892
0.7911 0.4108 0.8140
0.7911 0.8802 0.9770
0.8140 0.5230 0.4032
0.8140 0.7911 0.4108
0.8802 0.4032 0.0892
0.8802 0.9770 0.7911
0.9032 0.0230 0.3140
0.9032 0.3802 0.5892
0.9108 0.1198 0.5968
0.9108 0.2911 0.3140
0.9770 0.6860 0.0968
0.9770 0.7911 0.8802
```

***

Record 8
The following is a DFT calculation (PBE-GGA) of a relaxed structure of GaIO6.

Properties
* final energy: -4.57 eV per atom
* D(E_F): 0.5589 states/eV per atom
* space-group type: P-1 (2)

The structure in POSCAR format:
```
GaIO6
1.0
5.0121 0.0000 0.0000
-2.5049 4.3420 0.0000
-0.0037 -2.8862 4.4331
Ga I O
1 1 6
direct
0.0000 0.0000 0.0000
0.5000 0.0000 0.5000
0.1261 0.5170 0.2547
0.2597 0.1347 0.7429
0.3924 0.1299 0.2543
0.6076 0.8701 0.7457
0.7403 0.8653 0.2571
0.8739 0.4830 0.7453
```

***

Record 9
The following is a DFT calculation (PBE-GGA) of a relaxed structure of Be2CrCl.

Properties
* final energy: -4.11 eV per atom
* D(E_F): 0.4606 states/eV per atom
* space-group type: P2/m (10)

The structure in POSCAR format:
```
Be2CrCl
1.0
4.1570 0.0000 0.0000
0.0000 2.8334 0.0000
-1.7030 0.0000 4.1472
Be Cr Cl
2 1 1
direct
0.0000 0.0000 0.0000
0.5000 0.5000 0.0000
0.0000 0.5000 0.5000
0.5000 0.0000 0.5000
```

***

Record 10
The following is a DFT calculation (PBE-GGA) of a relaxed structure of Nd2NiSn.

Properties
* E_form: -27 meV/atom
* final energy: -4.86 eV per atom
* D(E_F): 0.9314 states/eV per atom
* space-group type: R-3m (166)

The structure in POSCAR format:
```
Nd2NiSn
1.0
1.9109 1.1033 9.8036
-1.9109 1.1033 9.8036
0.0000 -2.2066 9.8036
Nd Ni Sn
2 1 1
direct
0.1096 0.1096 0.1096
0.8904 0.8904 0.8904
0.5000 0.5000 0.5000
0.0000 0.0000 0.0000
```

***

Record 11
The following is a DFT calculation (PBE-GGA) of a relaxed structure of ReTeW2.

Properties
* final energy: -9.65 eV per atom
* D(E_F): 0.4621 states/eV per atom
* space-group type: Cmm2 (35)

The structure in POSCAR format:
```
ReTeW2
1.0
1.6070 -2.3588 0.0000
1.6070 2.3588 0.0000
0.0000 0.0000 9.5297
Re Te W
1 1 2
direct
0.0000 0.0000 0.0000
0.5000 0.5000 0.2835
0.0000 0.0000 0.5564
0.5000 0.5000 0.7825
```

***

Record 12
The following is a DFT calculation (PBE-GGA) of a relaxed structure of LiTlSeN2.

Properties
* final energy: -3.48 eV per atom
* D(E_F): 0.5028 states/eV per atom
* space-group type: P4/mmm (123)

The structure in POSCAR format:
```
LiTlSeN2
1.0
4.2091 0.0000 0.0000
0.0000 4.2091 0.0000
0.0000 0.0000 5.1610
Li Tl Se N
1 1 1 2
direct
0.0000 0.0000 0.0000
0.5000 0.5000 0.5000
0.0000 0.0000 0.5000
0.0000 0.5000 0.0000
0.5000 0.0000 0.0000
```

***

Record 13
The following is a DFT calculation (PBE-GGA) of a relaxed structure of Ce2Th3Bi4.

Properties
* E_form: -421 meV/atom
* final energy: -5.94 eV per atom
* D(E_F): 1.9478 states/eV per atom
* space-group type: C2/m (12)

The structure in POSCAR format:
```
Ce2Th3Bi4
1.0
8.4838 -2.6963 0.0000
8.4838 2.6963 0.0000
-1.7743 0.0000 6.3418
Ce Th Bi
2 3 4
direct
0.1722 0.1722 0.1294
0.8278 0.8278 0.8706
0.3919 0.3919 0.4398
0.5000 0.5000 0.0000
0.6081 0.6081 0.5602
0.0032 0.0032 0.7341
0.2297 0.2297 0.6846
0.7703 0.7703 0.3154
0.9968 0.9968 0.2659
```

***

Record 14
The following is a DFT calculation (PBE-GGA) of a relaxed structure of TlGaPbO4.

Properties
* final energy: -5.23 eV per atom
* space-group type: P2_1/m (11)

The structure in POSCAR format:
```
TlGaPbO4
1.0
5.9696 0.0000 0.0000
0.0000 5.9101 0.0000
-1.4508 0.0000 6.7548
Tl Ga Pb O
2 2 2 8
direct
0.1887 0.2500 0.0732
0.8113 0.7500 0.9268
0.2955 0.7500 0.8488
0.7045 0.2500 0.1512
0.2808 0.2500 0.6089
0.7192 0.7500 0.3911
0.0789 0.5122 0.8122
0.0789 0.9878 0.8122
0.4965 0.7500 0.0912
0.4993 0.7500 0.6771
0.5007 0.2500 0.3229
0.5035 0.2500 0.9088
0.9211 0.0122 0.1878
0.9211 0.4878 0.1878
```

***

Record 15
The following is a DFT calculation (PBE-GGA) of a relaxed structure of Ce3PrTh2Se6.

Properties
* final energy: -6.59 eV per atom
* D(E_F): 1.7324 states/eV per atom
* space-group type: C2/m (12)

The structure in POSCAR format:
```
Ce3PrTh2Se6
1.0
3.6421 -6.2963 0.0000
3.6421 6.2963 0.0000
-2.4178 0.0000 6.9021
Ce Pr Th Se
3 1 2 6
direct
0.0000 0.0000 0.0000
0.3351 0.6649 0.0000
0.6649 0.3351 0.0000
0.5000 0.5000 0.5000
0.1669 0.8331 0.5000
0.8331 0.1669 0.5000
0.0802 0.4155 0.2465
0.2487 0.2487 0.7519
0.4155 0.0802 0.2465
0.5845 0.9198 0.7535
0.7513 0.7513 0.2481
0.9198 0.5845 0.7535
```